Below is an optimized crystal structure of TmPa4Tc5, with properties calculated at the PBE level.

Cell lengths 3.4386, 3.4386, 17.1748 Å; angles 90.00, 90.00, 90.00 degrees
Element x y z (fractional)
1 Tm 0.0000 0.0000 0.0000
2 Pa 0.0000 0.0000 0.1971
3 Pa 0.0000 0.0000 0.4003
4 Pa 0.0000 0.0000 0.5997
5 Pa 0.0000 0.0000 0.8029
6 Tc 0.5000 0.5000 0.1122
7 Tc 0.5000 0.5000 0.2975
8 Tc 0.5000 0.5000 0.5000
9 Tc 0.5000 0.5000 0.7025
10 Tc 0.5000 0.5000 0.8878

Results
* crystal system: tetragonal
* SG: P4/mmm, No. 123
* ΔH_f (0 K): -0.201 eV per atom